Entry 1:
## Ca5Bi5H2 (PBE)

Data for Ca5Bi5H2 after structural relaxation.

Output
As for the total energy: -3.60 eV/atom. Its space group is C2/m (12). For the theoretical density, the calculation gives 6.33 g cm⁻³. As for the crystal system: monoclinic.

Cell: 4.622 6.595 11.487 Å, 93.45 90.00 110.51°
Sites, in units of the cell vectors:
Bi (0.632, 0.263, 0.133)
Ca (0.044, 0.088, 0.317)
Bi (0.249, 0.497, 0.608)
Bi (0.500, 0.000, 0.500)
Bi (0.751, 0.503, 0.392)
H (0.909, 0.819, 0.168)
H (0.091, 0.181, 0.832)
Ca (0.956, 0.912, 0.683)
Bi (0.368, 0.737, 0.867)
Ca (0.000, 0.000, 0.000)
Ca (0.332, 0.665, 0.170)
Ca (0.668, 0.335, 0.830)

Entry 2:
## Sr4Pa3BeN8 (PBE)

Data for Sr4Pa3BeN8 after structural relaxation.

Output
Its formation energy (no corrections) is -1.053 eV per atom. As for the total energy: -7.65 eV/atom. Its space group is C2/m (12). For the theoretical density, the calculation gives 7.45 g cm⁻³. As for the crystal system: monoclinic.

Cell: 7.045 7.214 7.115 Å, 119.27 119.68 90.00°
Sites, in units of the cell vectors:
Be (0.000, 0.500, 0.000)
Sr (0.500, 0.000, 0.000)
Sr (0.000, 0.000, 0.500)
N (0.247, 0.705, 0.494)
N (0.278, 0.303, 0.042)
Pa (0.500, 0.500, 0.000)
N (0.753, 0.295, 0.506)
N (0.268, 0.301, 0.535)
N (0.764, 0.303, 0.042)
Sr (0.500, 0.000, 0.500)
N (0.732, 0.699, 0.465)
N (0.236, 0.697, 0.958)
Pa (0.500, 0.500, 0.500)
Sr (0.000, 0.000, 0.000)
N (0.722, 0.697, 0.958)
Pa (0.000, 0.500, 0.500)

Entry 3:
## CsSe2BrN (PBE)

Data for CsSe2BrN after structural relaxation.

Output
Its formation energy (no corrections) is 1.649 eV per atom. As for the total energy: -1.92 eV/atom. For the relative energy among the computed polymorphs, the calculation gives 30.47 kcal/mol of atoms. Its space group is P4/mmm (123). For the theoretical density, the calculation gives 2.86 g cm⁻³. As for the crystal system: tetragonal.

Cell: 5.846 5.846 6.541 Å, 90.00 90.00 90.00°
Last column: magnetic moment on the atom in μB.
Sites, in units of the cell vectors:
N (0.500, 0.500, 0.500)  1.93
Br (0.000, 0.000, 0.500)  0.32
Se (0.000, 0.500, 0.000)  0.63
Cs (0.000, 0.000, 0.000)  0.04
Se (0.500, 0.000, 0.000)  0.63

Entry 4:
## CrAsBr2 (PBE)

Data for CrAsBr2 after structural relaxation.

Output
Its formation energy (no corrections) is -0.150 eV per atom. As for the total energy: -4.56 eV/atom. For the relative energy among the computed polymorphs, the calculation gives 0.39 kcal/mol of atoms. Its space group is Cmmm (65). For the theoretical density, the calculation gives 4.21 g cm⁻³. As for the crystal system: orthorhombic.

Cell: 3.463 6.977 6.979 Å, 42.18 90.00 90.00°
Last column: magnetic moment on the atom in μB.
Sites, in units of the cell vectors:
Br (0.000, 0.110, 0.111)  -0.08
Cr (0.500, 0.250, 0.250)  2.79
Br (0.000, 0.390, 0.389)  -0.08
As (0.500, 0.750, 0.750)  -0.49

Entry 5:
## UTeAs2 (PBE)

Data for UTeAs2 after structural relaxation.

Output
Its formation energy (no corrections) is 0.023 eV per atom. As for the total energy: -5.91 eV/atom. Its space group is R-3m (166). For the theoretical density, the calculation gives 6.76 g cm⁻³. As for the crystal system: trigonal.

Cell: 4.194 4.194 8.659 Å, 75.98 75.98 60.00°
Last column: magnetic moment on the atom in μB.
Sites, in units of the cell vectors:
U (0.500, 0.500, 0.500)  1.18
As (0.110, 0.110, 0.670)  -0.06
Te (0.000, 0.000, 0.000)  0.20
As (0.890, 0.890, 0.330)  -0.06

Entry 6:
## Zr2Cr2Re (PBE)

Data for Zr2Cr2Re after structural relaxation.

Output
As for the total energy: -9.65 eV/atom. Its energy of formation from the pure elements is 0.1067 eV per atom. Its space group is P4/mbm (127). For the theoretical density, the calculation gives 9.12 g cm⁻³. As for the crystal system: tetragonal.

Cell: 6.224 6.224 4.441 Å, 90.00 90.00 90.00°
Sites, in units of the cell vectors:
Cr (0.127, 0.373, 0.000)
Zr (0.320, 0.180, 0.500)
Re (0.000, 0.000, 0.000)
Cr (0.873, 0.627, 0.000)
Zr (0.680, 0.820, 0.500)
Cr (0.627, 0.127, 0.000)
Cr (0.373, 0.873, 0.000)
Re (0.500, 0.500, 0.000)
Zr (0.180, 0.680, 0.500)
Zr (0.820, 0.320, 0.500)

Entry 7:
## LiTlS2 (PBE)

Data for LiTlS2 after structural relaxation.

Output
Its formation energy (no corrections) is -0.499 eV per atom. As for the total energy: -3.63 eV/atom. Its space group is I4_1/amd (141). For the theoretical density, the calculation gives 5.52 g cm⁻³. As for the crystal system: tetragonal.

Cell: 5.557 5.557 6.655 Å, 65.32 65.32 90.00°
Sites, in units of the cell vectors:
Li (0.250, 0.750, 0.500)
S (0.757, 0.757, 0.485)
Tl (0.000, 0.000, 0.000)
Li (0.500, 0.500, 0.000)
S (0.507, 0.007, 0.985)
S (0.993, 0.493, 0.015)
Tl (0.750, 0.250, 0.500)
S (0.243, 0.243, 0.515)

Entry 8:
## Ac4Cd2Ni (PBE)

Data for Ac4Cd2Ni after structural relaxation.

Output
As for the total energy: -3.55 eV/atom. Its energy of formation from the pure elements is -0.1194 eV per atom. For the relative energy among the computed polymorphs, the calculation gives 0.00 kcal/mol of atoms. Its space group is I4/mmm (139). For the theoretical density, the calculation gives 7.60 g cm⁻³. As for the crystal system: tetragonal.

Cell: 5.557 5.557 9.301 Å, 107.38 107.38 90.00°
Sites, in units of the cell vectors:
Ni (0.000, 0.000, 0.000)
Cd (0.374, 0.374, 0.748)
Ac (0.180, 0.180, 0.360)
Ac (0.500, 0.000, 0.000)
Cd (0.626, 0.626, 0.252)
Ac (0.820, 0.820, 0.640)
Ac (0.000, 0.500, 0.000)

Entry 9:
## Th8Tc3SbTe4 (PBE)

Data for Th8Tc3SbTe4 after structural relaxation.

Output
Its formation energy (no corrections) is -0.688 eV per atom. As for the total energy: -7.38 eV/atom. Its space group is R-3m (166). For the theoretical density, the calculation gives 9.45 g cm⁻³. As for the crystal system: trigonal.

Cell: 8.629 9.073 8.630 Å, 118.40 120.00 90.00°
Sites, in units of the cell vectors:
Tc (0.500, 0.500, 0.500)
Te (0.000, 0.000, 0.500)
Th (0.751, 0.295, 0.044)
Th (0.293, 0.295, 0.044)
Th (0.249, 0.705, 0.498)
Te (0.500, 0.000, 0.500)
Te (0.000, 0.000, 0.000)
Th (0.707, 0.705, 0.956)
Sb (0.000, 0.500, 0.000)
Th (0.751, 0.295, 0.502)
Th (0.735, 0.705, 0.470)
Tc (0.000, 0.500, 0.500)
Te (0.500, 0.000, 0.000)
Th (0.265, 0.295, 0.530)
Th (0.249, 0.705, 0.956)
Tc (0.500, 0.500, 0.000)

Entry 10:
## Sc2MnCl (PBE)

Data for Sc2MnCl after structural relaxation.

Output
Its formation energy (no corrections) is -0.068 eV per atom. As for the total energy: -5.99 eV/atom. For the relative energy among the computed polymorphs, the calculation gives 12.10 kcal/mol of atoms. Its space group is I-42d (122). For the theoretical density, the calculation gives 3.57 g cm⁻³. As for the crystal system: tetragonal.

Cell: 7.223 7.223 6.037 Å, 53.25 53.25 90.00°
Last column: magnetic moment on the atom in μB.
Sites, in units of the cell vectors:
Cl (0.500, 0.500, 0.000)  0.02
Cl (0.250, 0.750, 0.500)  0.02
Sc (0.375, 0.412, 0.750)  -0.35
Mn (0.000, 0.000, 0.000)  3.62
Sc (0.162, 0.625, 0.250)  -0.34
Mn (0.750, 0.250, 0.500)  3.61
Sc (0.875, 0.838, 0.750)  -0.35
Sc (0.588, 0.125, 0.250)  -0.34

Entry 11:
## SmEr3Tm6Th2 (PBE)

Data for SmEr3Tm6Th2 after structural relaxation.

Output
As for the total energy: -4.97 eV/atom. Its energy of formation from the pure elements is 0.0316 eV per atom. Its space group is C2/m (12). For the theoretical density, the calculation gives 9.55 g cm⁻³. As for the crystal system: monoclinic.

Cell: 6.115 6.115 11.609 Å, 95.05 95.05 119.95°
Sites, in units of the cell vectors:
Tm (0.422, 0.084, 0.250)
Tm (0.084, 0.422, 0.250)
Tm (0.254, 0.254, 0.750)
Er (0.834, 0.166, 0.500)
Er (0.500, 0.500, 0.500)
Sm (0.000, 0.000, 0.000)
Tm (0.746, 0.746, 0.250)
Tm (0.916, 0.578, 0.750)
Tm (0.578, 0.916, 0.750)
Th (0.333, 0.667, 0.000)
Er (0.166, 0.834, 0.500)
Th (0.667, 0.333, 0.000)

Entry 12:
## La5Th (PBE)

Data for La5Th after structural relaxation.

Output
As for the total energy: -5.33 eV/atom. Its energy of formation from the pure elements is 0.0115 eV per atom. For the relative energy among the computed polymorphs, the calculation gives 0.00 kcal/mol of atoms. Its space group is P4/mmm (123). For the theoretical density, the calculation gives 7.21 g cm⁻³. As for the crystal system: tetragonal.

Cell: 3.655 3.655 15.972 Å, 90.00 90.00 90.00°
Sites, in units of the cell vectors:
La (0.000, 0.000, 0.000)
Th (0.500, 0.500, 0.500)
La (0.000, 0.000, 0.653)
La (0.500, 0.500, 0.163)
La (0.500, 0.500, 0.837)
La (0.000, 0.000, 0.347)

Copy entry 8 word for word.
## Ac4Cd2Ni (PBE)

Data for Ac4Cd2Ni after structural relaxation.

Output
As for the total energy: -3.55 eV/atom. Its energy of formation from the pure elements is -0.1194 eV per atom. For the relative energy among the computed polymorphs, the calculation gives 0.00 kcal/mol of atoms. Its space group is I4/mmm (139). For the theoretical density, the calculation gives 7.60 g cm⁻³. As for the crystal system: tetragonal.

Cell: 5.557 5.557 9.301 Å, 107.38 107.38 90.00°
Sites, in units of the cell vectors:
Ni (0.000, 0.000, 0.000)
Cd (0.374, 0.374, 0.748)
Ac (0.180, 0.180, 0.360)
Ac (0.500, 0.000, 0.000)
Cd (0.626, 0.626, 0.252)
Ac (0.820, 0.820, 0.640)
Ac (0.000, 0.500, 0.000)

> What is the formula in the fourth record?

CrAsBr2